The following is a meta-GGA SCAN calculation of Na5LiV6O18 at its PBEsol-relaxed geometry, from Alexandria.

Output
The space group is P1, No. 1. The uncorrected formation energy is -2.514 eV per atom. The total energy is -10.53 eV per atom. The spin magnetization comes out at 0.0 μB per cell.

a b c (Å): 7.910 10.219 10.999
angles (deg): 90.77 102.86 110.73
Element x y z (fractional)
Na1 0.000 0.000 0.000
Na2 0.021 0.973 0.456
Na3 0.236 0.767 0.031
Na4 0.339 0.668 0.330
Na5 0.364 0.651 0.788
Na6 0.571 0.439 0.364
Na7 0.671 0.341 0.669
Na8 0.695 0.317 0.119
Na9 0.793 0.211 0.418
Na10 0.905 0.102 0.703
Li1 0.130 0.873 0.746
Li2 0.466 0.544 0.078
V1 0.009 0.424 0.911
V2 0.035 0.566 0.542
V3 0.108 0.319 0.194
V4 0.258 0.335 0.587
V5 0.328 0.088 0.249
V6 0.368 0.231 0.876
V7 0.433 0.981 0.538
V8 0.585 0.001 0.921
V9 0.668 0.756 0.583
V10 0.696 0.885 0.205
V11 0.772 0.648 0.865
V12 0.923 0.665 0.250
O1 0.047 0.664 0.408
O2 0.060 0.651 0.163
O3 0.061 0.196 0.546
O4 0.069 0.671 0.668
O5 0.144 0.156 0.214
O6 0.167 0.097 0.851
O7 0.218 0.498 0.575
O8 0.218 0.551 0.945
O9 0.292 0.982 0.628
O10 0.295 0.986 0.123
O11 0.308 0.455 0.227
O12 0.309 0.987 0.382
O13 0.381 0.869 0.874
O14 0.385 0.330 0.743
O15 0.395 0.327 0.498
O16 0.398 0.336 0.000
O17 0.483 0.823 0.550
O18 0.498 0.747 0.174
O19 0.534 0.217 0.272
O20 0.557 0.168 0.911
O21 0.628 0.121 0.579
O22 0.637 0.653 0.958
O23 0.640 0.662 0.453
O24 0.641 0.646 0.709
O25 0.705 0.993 0.077
O26 0.717 0.978 0.335
O27 0.719 0.534 0.206
O28 0.723 0.988 0.834
O29 0.823 0.490 0.879
O30 0.830 0.435 0.518
O31 0.878 0.882 0.618
O32 0.892 0.831 0.235
O33 0.967 0.788 0.898
O34 0.974 0.335 0.284
O35 0.980 0.313 0.037
O36 0.980 0.330 0.781